1.
Below is a relaxed KIn2W crystal, with properties calculated at the PBE-GGA level.

Cell lengths 5.9577, 5.9577, 10.0915 Å; angles 72.83, 72.83, 90.00 degrees
Last column: nearest neighbours and their distance in Å.
Fractional positions:
In1 0.8661 0.1250 0.2500  2 W 2.73, 2 In 2.98
In2 0.8750 0.1161 0.7500  2 W 2.73, 2 In 2.98
In3 0.8839 0.6250 0.2500  2 W 2.73, 2 In 2.98
In4 0.3750 0.1339 0.7500  2 W 2.73, 2 In 2.98
W1 0.7500 0.2500 0.5000  4 In 2.73
W2 0.0000 0.0000 0.0000  4 In 2.73
K1 0.5000 0.5000 0.0000  8 In 4.00-4.08, 4 W 4.21
K2 0.2500 0.7500 0.5000  8 In 4.00-4.08, 4 W 4.21

## Properties
Magnetization (μB per cell): 5.40
Final energy (eV per atom): -3.804
Energy relative to the elements (meV/atom): 1078
DOS(E_F) (states/eV/f.u.): 2.7
Energy above the lowest structure with this stoichiometry (meV/atom): 615
Crystal system: tetragonal


2.
Below is a relaxed KIn2W crystal, with properties calculated at the PBE-GGA level.

Cell lengths 10.9681, 10.9681, 10.9681 Å; angles 16.46, 16.46, 16.46 degrees
Last column: nearest neighbours and their distance in Å.
Fractional positions:
In1 0.4897 0.4897 0.4897  3 W 2.99, 6 In 3.14
In2 0.0103 0.0103 0.0103  3 W 2.99, 6 In 3.14
K1 0.2500 0.2500 0.2500  6 K 3.14
W1 0.7500 0.7500 0.7500  6 In 2.99, 6 W 3.14

## Properties
Magnetization (μB per cell): 0.00
Final energy (eV per atom): -4.331
Energy relative to the elements (meV/atom): 551
DOS(E_F) (states/eV/f.u.): 0.6
Energy above the lowest structure with this stoichiometry (meV/atom): 88
Crystal system: trigonal


3.
Below is a relaxed KIn2W crystal, with properties calculated at the PBE-GGA level.

Cell lengths 3.0130, 3.0130, 10.7803 Å; angles 90.00, 90.00, 101.74 degrees
Last column: nearest neighbours and their distance in Å.
Fractional positions:
K1 0.0000 0.0000 0.5122  4 K 3.01
W1 0.5000 0.5000 0.7820  4 In 2.87-3.17, 4 W 3.01
In1 0.5000 0.5000 0.2246  6 In 3.01-3.24
In2 0.0000 0.0000 0.9811  4 W 2.87-3.17, 4 In 3.01

## Properties
Magnetization (μB per cell): 0.00
Final energy (eV per atom): -4.128
Energy relative to the elements (meV/atom): 754
DOS(E_F) (states/eV/f.u.): 1.7
Energy above the lowest structure with this stoichiometry (meV/atom): 290
Crystal system: orthorhombic


4.
Below is a relaxed K2YIn crystal, with properties calculated at the PBE-GGA level.

Cell lengths 5.8584, 5.8584, 5.8584 Å; angles 120.00, 120.00, 90.00 degrees
Last column: nearest neighbours and their distance in Å.
Fractional positions:
Y1 0.5000 0.5000 0.0000  4 In 3.59, 4 K 3.59
K1 0.0000 0.0000 0.0000  4 In 3.59, 4 K 3.59
K2 0.2500 0.7500 0.5000  4 Y 3.59, 4 K 3.59
In1 0.7500 0.2500 0.5000  4 K 3.59, 4 Y 3.59

## Properties
Magnetization (μB per cell): 0.00
Final energy (eV per atom): -2.613
Energy relative to the elements (meV/atom): 237
DOS(E_F) (states/eV/f.u.): 1.6
Crystal system: cubic


5.
Below is a relaxed K2YIn crystal, with properties calculated at the PBE-GGA level.

Cell lengths 10.3762, 10.3762, 8.0092 Å; angles 49.63, 49.63, 90.00 degrees
Last column: nearest neighbours and their distance in Å.
Fractional positions:
K1 0.8750 0.9251 0.7500  2 K 3.38, 2 In 3.42
K2 0.3750 0.3249 0.7500  2 K 3.38, 2 In 3.42
K3 0.0749 0.6250 0.2500  2 K 3.38, 2 In 3.42
K4 0.6751 0.1250 0.2500  2 K 3.38, 2 In 3.42
Y1 0.2500 0.7500 0.5000  2 In 3.21
Y2 0.5000 0.5000 0.0000  2 In 3.21
In1 0.7500 0.2500 0.5000  2 Y 3.21, 4 K 3.42
In2 0.0000 0.0000 0.0000  2 Y 3.21, 4 K 3.42

## Properties
Magnetization (μB per cell): 0.00
Final energy (eV per atom): -2.434
Energy relative to the elements (meV/atom): 416
DOS(E_F) (states/eV/f.u.): 2.8
Crystal system: tetragonal


6.
Below is a relaxed K2YIn crystal, with properties calculated at the PBE-GGA level.

Cell lengths 3.5647, 3.5647, 13.3964 Å; angles 90.00, 90.00, 112.37 degrees
Last column: nearest neighbours and their distance in Å.
Fractional positions:
In1 0.5000 0.5000 0.7500  6 In 3.56-3.97, 4 K 3.69
Y1 0.5000 0.5000 0.2500  6 Y 3.56-3.97
K1 0.0000 0.0000 0.9823  6 K 3.56-3.97, 2 In 3.69
K2 0.0000 0.0000 0.5177  6 K 3.56-3.97, 2 In 3.69

## Properties
Magnetization (μB per cell): 0.00
Final energy (eV per atom): -2.540
Energy relative to the elements (meV/atom): 310
DOS(E_F) (states/eV/f.u.): 4.3
Crystal system: orthorhombic